[1]
## Cr2AgCl (PBE)

Data for a relaxed structure of Cr2AgCl.

```
Cr2AgCl
1.0
1.6222 0.9366 8.1208
-1.6222 0.9366 8.1208
0.0000 -1.8731 8.1208
Cr Ag Cl
2 1 1
Direct
0.2464 0.2464 0.2464
0.7536 0.7536 0.7536
0.0000 0.0000 0.0000
0.5000 0.5000 0.5000
```

Polymorph energy (0 for the lowest one) = 229.1 meV per atom
E_form (uncorrected) = 0.3995 eV/atom

---

[2]
## BiB2PBr (PBE)

Data for a relaxed structure of BiB2PBr.

```
BiB2PBr
1.0
4.3732 0.0000 0.0000
0.0000 4.3732 0.0000
0.0000 0.0000 4.9672
Bi B P Br
1 2 1 1
Direct
0.0000 0.0000 0.0000
0.0000 0.5000 0.5000
0.5000 0.0000 0.5000
0.5000 0.5000 0.0000
0.5000 0.5000 0.5000
```

E_form (uncorrected) = 1.9186 eV/atom

---

[3]
## Li3Ce2DyS6 (PBE)

Data for a relaxed structure of Li3Ce2DyS6.

```
Li3Ce2DyS6
1.0
3.4720 -6.0232 0.0000
3.4720 6.0232 0.0000
-2.2943 0.0000 6.1746
Li Ce Dy S
3 2 1 6
Direct
0.0000 0.0000 0.0000
0.3414 0.6586 0.0000
0.6586 0.3414 0.0000
0.1673 0.8327 0.5000
0.8327 0.1673 0.5000
0.5000 0.5000 0.5000
0.0903 0.4155 0.2452
0.2576 0.2576 0.7533
0.4155 0.0903 0.2452
0.5845 0.9097 0.7548
0.7424 0.7424 0.2467
0.9097 0.5845 0.7548
```

E_form (uncorrected) = -1.7588 eV/atom

---

[4]
## NaLiCdBi (PBE)

Data for a relaxed structure of NaLiCdBi.

```
NaLiCdBi
1.0
0.0000 3.6417 3.6417
3.6417 0.0000 3.6417
3.6417 3.6417 0.0000
Na Li Cd Bi
1 1 1 1
Direct
0.0000 0.0000 0.0000
0.5000 0.5000 0.5000
0.2500 0.2500 0.2500
0.7500 0.7500 0.7500
```

Polymorph energy (0 for the lowest one) = 0.0 meV per atom

---

[5]
## RbCu2SbF8 (PBE)

Data for a relaxed structure of RbCu2SbF8.

```
RbCu2SbF8
1.0
2.7507 1.5881 8.5308
-2.7507 1.5881 8.5308
0.0000 -3.1762 8.5308
Rb Cu Sb F
1 2 1 8
Direct
0.0000 0.0000 0.0000
0.2646 0.2646 0.2646
0.7354 0.7354 0.7354
0.5000 0.5000 0.5000
0.1171 0.6205 0.6205
0.3362 0.3362 0.3362
0.3795 0.3795 0.8829
0.3795 0.8829 0.3795
0.6205 0.1171 0.6205
0.6205 0.6205 0.1171
0.6638 0.6638 0.6638
0.8829 0.3795 0.3795
```

E_form (uncorrected) = -1.9110 eV/atom

---

[6]
## NdAs2Rh5Au (PBE)

Data for a relaxed structure of NdAs2Rh5Au.

```
NdAs2Rh5Au
1.0
4.2466 0.0000 0.0000
0.0000 4.2466 0.0000
0.0000 0.0000 8.7463
Nd As Rh Au
1 2 5 1
Direct
0.0000 0.0000 0.0000
0.5000 0.5000 0.3598
0.5000 0.5000 0.6402
0.0000 0.5000 0.2400
0.0000 0.5000 0.7600
0.5000 0.0000 0.2400
0.5000 0.0000 0.7600
0.5000 0.5000 0.0000
0.0000 0.0000 0.5000
```

DFT total energy = -56.80 eV per cell

---

| no. | calculated density (Mg/m³) |
| --- | --- |
| 1 | 5.55 |
| 2 | 5.97 |
| 3 | 4.22 |
| 4 | 6.04 |
| 5 | 3.61 |
| 6 | 10.59 |